{
  "formula": "LiCdAgAu2",
  "functional": "PBE-GGA",
  "state": "relaxed",
  "lattice": [[2.907, 0.000, 0.000], [0.000, 11.255, 3.666], [0.000, -1.162, 5.412]],
  "species": ["Au", "Au", "Au", "Au", "Li", "Li", "Cd", "Cd", "Ag", "Ag"],
  "fractional_positions": [[0.750, 0.795, 0.052], [0.250, 0.210, 0.453], [0.250, 0.205, 0.948], [0.750, 0.790, 0.547], [0.750, 0.373, 0.665], [0.250, 0.627, 0.335], [0.250, 0.982, 0.752], [0.750, 0.018, 0.248], [0.750, 0.583, 0.847], [0.250, 0.417, 0.153]],
  "sg": "P2_1/m, No. 11",
  "total_energy_ev_per_fu": -13.04,
  "formation_energy_ev_per_atom": -0.16,
  "magmom_total_mub_per_fu": 0.00
}